Entry from the Alexandria database: a relaxed PrGd2Dy crystal (GGA-PBE).

Structure (POSCAR):
```
PrGd2Dy
1.0
3.6049 0.0000 0.0000
1.8025 3.1220 0.0000
1.8025 1.0407 11.7779
Dy Gd Pr
1 2 1
direct
0.5000 0.5000 0.5000
0.2484 0.2484 0.2548
0.7516 0.7516 0.7452
0.0000 0.0000 0.0000
```

***

Entry from the Alexandria database: a relaxed PrGd2Dy crystal (GGA-PBE).

Structure (POSCAR):
```
PrGd2Dy
1.0
-4.6724 0.2091 2.0580
0.9929 -4.2077 2.6819
1.8045 2.8522 3.8069
Gd Dy Pr
2 1 1
direct
0.0000 0.5000 0.0000
0.0000 0.0000 0.5000
0.5000 0.5000 0.5000
0.5000 0.0000 0.0000
```

***

Number 1: formation energy from the elements 0.5 kcal/mol of atoms. Number 2: formation energy from the elements 0.5 kcal/mol of atoms.